Cs2Cr3F8: relaxed, PBE+U.

Properties
For the uncorrected energy, the calculation gives -5.63 eV/atom. The mass density comes out at 3.69 g cm⁻³.

Cell: 13.731 6.831 5.832 Å, 90.00 109.22 90.00°
Space group C2/m (No. 12)
One atom of each set of equivalent atoms:
Cs1 0.214 0.000 0.174 [4 per cell]
Cr1 0.000 0.250 0.500 [4 per cell]
Cr2 0.000 0.500 0.000 [2 per cell]
F1 0.072 0.287 0.866 [8 per cell]
F2 0.091 0.500 0.425 [4 per cell]
F3 0.100 0.000 0.502 [4 per cell]